Record 1
BeVN2O (PBE with a Hubbard U, optimized geometry); V = 39.6 Å³ per cell; DOS at the Fermi energy = 3.76 states/eV/f.u.; SG = P4/mmm, No. 123; final energy = -30.219 eV/cell
1.0
3.448 0.000 0.000
0.000 3.448 0.000
0.000 0.000 3.332
Be O N V
1 1 2 1
direct
0.000 0.000 0.000 Be
0.000 0.000 0.500 O
0.500 0.000 0.000 N
0.000 0.500 0.000 N
0.500 0.500 0.500 V

***

Record 2
BeVN2O (PBE with a Hubbard U, optimized geometry); V = 53.2 Å³ per cell; DOS at the Fermi energy = 2.10 states/eV/f.u.; SG = P4/mmm, No. 123; final energy = -30.270 eV/cell
1.0
-2.010 1.913 2.600
-3.169 -1.753 -1.160
0.595 -2.687 2.437
O V N Be
1 1 2 1
direct
0.000 0.000 0.500 O
0.000 0.000 0.000 V
0.000 0.500 0.000 N
0.500 0.000 0.000 N
0.500 0.500 0.500 Be

***

Record 3
BeWN2O (PBE with a Hubbard U, optimized geometry); V = 40.7 Å³ per cell; DOS at the Fermi energy = 2.91 states/eV/f.u.; SG = P4/mmm, No. 123; final energy = -30.259 eV/cell
1.0
-1.503 0.653 -3.136
-3.202 -0.208 1.491
0.083 3.187 0.624
N O W Be
2 1 1 1
direct
0.000 0.500 0.000 N
0.500 0.000 0.000 N
0.000 0.000 0.500 O
0.500 0.500 0.500 W
0.000 0.000 0.000 Be

***

Record 4
BeWN2O (PBE with a Hubbard U, optimized geometry); V = 60.9 Å³ per cell; DOS at the Fermi energy = 2.29 states/eV/f.u.; SG = P4/mmm, No. 123; final energy = -31.147 eV/cell
1.0
-0.552 1.317 3.723
2.383 -2.887 1.374
3.023 2.318 -0.372
O N W Be
1 2 1 1
direct
0.000 0.000 0.500 O
0.500 0.000 0.000 N
0.000 0.500 0.000 N
0.000 0.000 0.000 W
0.500 0.500 0.500 Be

***

Record 5
BeWNO2 (PBE with a Hubbard U, optimized geometry); V = 60.6 Å³ per cell; DOS at the Fermi energy = 1.42 states/eV/f.u.; SG = P4/mmm, No. 123; final energy = -30.974 eV/cell
1.0
3.877 0.000 0.000
0.000 3.877 0.000
0.000 0.000 4.033
N W Be O
1 1 1 2
direct
0.000 0.000 0.500 N
0.000 0.000 0.000 W
0.500 0.500 0.500 Be
0.500 0.000 0.000 O
0.000 0.500 0.000 O

***

Record 6
BeWNO2 (PBE with a Hubbard U, optimized geometry); V = 42.1 Å³ per cell; DOS at the Fermi energy = 1.09 states/eV/f.u.; SG = P4/mmm, No. 123; final energy = -31.423 eV/cell
1.0
-0.819 -1.264 -2.994
3.242 -0.541 -0.658
-0.262 -3.417 1.515
Be O N W
1 2 1 1
direct
0.000 0.000 0.000 Be
0.000 0.500 0.000 O
0.500 0.000 0.000 O
0.000 0.000 0.500 N
0.500 0.500 0.500 W